Computed, not measured: Hf4TlAsN2 after structural relaxation at the PBE-GGA level of DFT.

Calculated values
**E**: -9.035 eV/atom
**Symmetry**: P-6m2 (187)

POSCAR file:
```
Hf4TlAsN2
1.0
3.3396 0.0000 0.0000
-1.6698 2.8922 0.0000
0.0000 0.0000 13.4331
Hf Tl As N
4 1 1 2
Direct
0.0000 0.0000 0.1401
0.0000 0.0000 0.8599
0.6667 0.3333 0.3191
0.6667 0.3333 0.6809
0.0000 0.0000 0.5000
0.6667 0.3333 0.0000
0.3333 0.6667 0.2328
0.3333 0.6667 0.7672
```

***

Computed, not measured: Hf4TlAsN2 after structural relaxation at the PBE-GGA level of DFT.

Calculated values
**E**: -9.035 eV/atom
**Symmetry**: P-6m2 (187)

POSCAR file:
```
Hf4TlAsN2
1.0
3.3396 0.0000 0.0000
-1.6698 2.8922 0.0000
0.0000 0.0000 13.4331
Hf Tl As N
4 1 1 2
Direct
0.0000 0.0000 0.1401
0.0000 0.0000 0.8599
0.3333 0.6667 0.3191
0.3333 0.6667 0.6809
0.0000 0.0000 0.5000
0.3333 0.6667 0.0000
0.6667 0.3333 0.2328
0.6667 0.3333 0.7672
```

***

Computed, not measured: Hf2As3W4N3 after structural relaxation at the PBE-GGA level of DFT.

Calculated values
**E**: -9.524 eV/atom
**Symmetry**: C2/c (15)

POSCAR file:
```
Hf2As3W4N3
1.0
4.9133 -2.8576 0.0000
4.9133 2.8576 0.0000
-3.2631 0.0000 12.0362
Hf As W N
4 6 8 6
Direct
0.0305 0.8494 0.6004
0.1506 0.9695 0.8996
0.8494 0.0305 0.1004
0.9695 0.1506 0.3996
0.0778 0.2765 0.7455
0.2765 0.0778 0.2455
0.4401 0.5599 0.7500
0.5599 0.4401 0.2500
0.7235 0.9222 0.7545
0.9222 0.7235 0.2545
0.1951 0.3936 0.0909
0.3281 0.4337 0.4125
0.3936 0.1951 0.5909
0.4337 0.3281 0.9125
0.5663 0.6719 0.0875
0.6064 0.8049 0.4091
0.6719 0.5663 0.5875
0.8049 0.6064 0.9091
0.0000 0.5000 0.5000
0.1526 0.6966 0.0005
0.3034 0.8474 0.4995
0.5000 0.0000 0.0000
0.6966 0.1526 0.5005
0.8474 0.3034 0.9995
```

***

Computed, not measured: Y4Hf2As3N3 after structural relaxation at the PBE-GGA level of DFT.

Calculated values
**E**: -8.385 eV/atom
**Symmetry**: C2/c (15)

POSCAR file:
```
Y4Hf2As3N3
1.0
5.3872 -3.1266 0.0000
5.3872 3.1266 0.0000
-3.6132 0.0000 12.7206
Y Hf As N
8 4 6 6
Direct
0.0391 0.2002 0.1055
0.1272 0.2979 0.3945
0.2002 0.0391 0.6055
0.2979 0.1272 0.8945
0.7021 0.8728 0.1055
0.7998 0.9609 0.3945
0.8728 0.7021 0.6055
0.9609 0.7998 0.8945
0.3631 0.5317 0.0938
0.4683 0.6369 0.4062
0.5317 0.3631 0.5938
0.6369 0.4683 0.9062
0.1056 0.8944 0.2500
0.2724 0.4173 0.7518
0.4173 0.2724 0.2518
0.5827 0.7276 0.7482
0.7276 0.5827 0.2482
0.8944 0.1056 0.7500
0.0000 0.5000 0.0000
0.2064 0.6470 0.5001
0.3530 0.7936 0.9999
0.5000 0.0000 0.5000
0.6470 0.2064 0.0001
0.7936 0.3530 0.4999
```

***

Computed, not measured: Hf4Zr2As3N3 after structural relaxation at the PBE-GGA level of DFT.

Calculated values
**E**: -9.310 eV/atom
**Symmetry**: C2/c (15)

POSCAR file:
```
Hf4Zr2As3N3
1.0
5.1249 -2.9587 0.0000
5.1249 2.9587 0.0000
-3.4126 0.0000 12.2804
Hf Zr As N
8 4 6 6
Direct
0.0296 0.2016 0.0967
0.1364 0.3015 0.4033
0.2016 0.0296 0.5967
0.3015 0.1364 0.9033
0.6985 0.8636 0.0967
0.7984 0.9704 0.4033
0.8636 0.6985 0.5967
0.9704 0.7984 0.9033
0.3682 0.5330 0.0986
0.4670 0.6318 0.4014
0.5330 0.3682 0.5986
0.6318 0.4670 0.9014
0.0790 0.9210 0.2500
0.2464 0.4157 0.7492
0.4157 0.2464 0.2492
0.5843 0.7536 0.7508
0.7536 0.5843 0.2508
0.9210 0.0790 0.7500
0.0000 0.5000 0.0000
0.1538 0.6733 0.5000
0.3267 0.8462 0.0000
0.5000 0.0000 0.5000
0.6733 0.1538 0.0000
0.8462 0.3267 0.5000
```

***

Computed, not measured: NaHfAsO after structural relaxation at the PBE-GGA level of DFT.

Calculated values
**Polymorph energy (0 for the lowest one)**: 87 meV per atom
**Symmetry**: P4/nmm (129)

POSCAR file:
```
NaHfAsO
1.0
3.6844 0.0000 0.0000
0.0000 3.6844 0.0000
0.0000 0.0000 9.5411
Na Hf As O
2 2 2 2
Direct
0.2500 0.7500 0.0000
0.7500 0.2500 0.0000
0.2500 0.2500 0.3768
0.7500 0.7500 0.6232
0.2500 0.2500 0.7707
0.7500 0.7500 0.2293
0.2500 0.7500 0.5000
0.7500 0.2500 0.5000
```

***

Computed, not measured: NaHfAsO after structural relaxation at the PBE-GGA level of DFT.

Calculated values
**Polymorph energy (0 for the lowest one)**: 0 meV per atom
**Symmetry**: Pmc2_1 (26)

POSCAR file:
```
NaHfAsO
1.0
3.9930 0.0000 0.0000
0.0000 7.2460 0.0000
0.0000 0.0000 6.2198
Na Hf As O
2 2 2 2
Direct
0.0000 0.1822 0.0000
0.0000 0.8178 0.5000
0.5000 0.4014 0.6177
0.5000 0.5986 0.1177
0.0000 0.2182 0.4691
0.0000 0.7818 0.9691
0.5000 0.3723 0.9376
0.5000 0.6277 0.4376
```

***

Computed, not measured: NaHfAsO after structural relaxation at the PBE-GGA level of DFT.

Calculated values
**Polymorph energy (0 for the lowest one)**: 445 meV per atom
**Symmetry**: P4/nmm (129)

POSCAR file:
```
NaHfAsO
1.0
5.2996 0.0000 0.0000
0.0000 5.2996 0.0000
0.0000 0.0000 4.7398
Na Hf As O
2 2 2 2
Direct
0.2500 0.2500 0.0040
0.7500 0.7500 0.9960
0.2500 0.7500 0.5000
0.7500 0.2500 0.5000
0.2500 0.2500 0.5043
0.7500 0.7500 0.4957
0.2500 0.7500 0.0000
0.7500 0.2500 0.0000
```

***

Computed, not measured: NaHfAsO after structural relaxation at the PBE-GGA level of DFT.

Calculated values
**Polymorph energy (0 for the lowest one)**: 81 meV per atom
**Symmetry**: Pmc2_1 (26)

POSCAR file:
```
NaHfAsO
1.0
3.6418 0.0000 0.0000
0.0000 7.2730 0.0000
0.0000 0.0000 5.6019
Na Hf As O
2 2 2 2
Direct
0.0000 0.0031 0.0000
0.0000 0.9969 0.5000
0.5000 0.3583 0.7446
0.5000 0.6417 0.2446
0.5000 0.2825 0.2456
0.5000 0.7175 0.7456
0.0000 0.2430 0.7451
0.0000 0.7570 0.2451
```

***

Computed, not measured: NaHfAsOs after structural relaxation at the PBE-GGA level of DFT.

Calculated values
**Polymorph energy (0 for the lowest one)**: 168 meV per atom
**Symmetry**: F-43m (216)

POSCAR file:
```
NaHfAsOs
1.0
0.0000 3.2727 3.2727
3.2727 0.0000 3.2727
3.2727 3.2727 0.0000
Na Hf As Os
1 1 1 1
Direct
0.0000 0.0000 0.0000
0.5000 0.5000 0.5000
0.2500 0.2500 0.2500
0.7500 0.7500 0.7500
```

***

Computed, not measured: NaHfAsOs after structural relaxation at the PBE-GGA level of DFT.

Calculated values
**Polymorph energy (0 for the lowest one)**: 0 meV per atom
**Symmetry**: F-43m (216)

POSCAR file:
```
NaHfAsOs
1.0
0.0000 3.2100 3.2100
3.2100 0.0000 3.2100
3.2100 3.2100 0.0000
Na Hf As Os
1 1 1 1
Direct
0.0000 0.0000 0.0000
0.2500 0.2500 0.2500
0.7500 0.7500 0.7500
0.5000 0.5000 0.5000
```

***

Computed, not measured: Hf2NbAs after structural relaxation at the PBE-GGA level of DFT.

Calculated values
**E**: -8.630 eV/atom
**Symmetry**: F-43m (216)

POSCAR file:
```
Hf2NbAs
1.0
0.0000 3.3496 3.3496
3.3496 0.0000 3.3496
3.3496 3.3496 0.0000
Hf Nb As
2 1 1
Direct
0.0000 0.0000 0.0000
0.2500 0.2500 0.2500
0.7500 0.7500 0.7500
0.5000 0.5000 0.5000
```

***

no.,volume (Å³ per cell)
1,130
2,130
3,338
4,429
5,372
6,130
7,180
8,133
9,148
10,70
11,66
12,75